(1)
The following is a PBE calculation of CoHgP after structural relaxation, from Alexandria via LeMat-Bulk.

abc: 4.154 4.154 4.154
angles: 60.00 60.00 60.00
Each line ends with the local moment (μB).
Fractional positions:
1 Hg 0.000 0.000 0.000  0.01
2 Co 0.750 0.750 0.750  0.57
3 P 0.500 0.500 0.500  -0.01

Values from the calculation:
N(E_F) ... 3.26 states/eV per cell
Formation energy ... 0.3740 eV/atom
Calculated density ... 9.5 Mg/m³
Excess energy over the best structure of this formula in the dataset ... 0.473 eV per atom
Symmetry ... No. 216
Uncorrected energy ... -3.90 eV per atom

---

(2)
The following is a PBE calculation of CoHgP4 after structural relaxation, from Alexandria via LeMat-Bulk.

abc: 5.172 5.172 5.172
angles: 60.00 60.00 60.00
Each line ends with the local moment (μB).
Fractional positions:
1 Hg 0.000 0.000 0.000  0.01
2 P 0.380 0.860 0.380  0.03
3 Co 0.750 0.750 0.750  1.88
4 P 0.860 0.380 0.380  0.03
5 P 0.380 0.380 0.860  0.03
6 P 0.380 0.380 0.380  0.03

Values from the calculation:
N(E_F) ... 3.78 states/eV per cell
Formation energy ... 0.8324 eV/atom
Calculated density ... 6.5 Mg/m³
Symmetry ... No. 216
Uncorrected energy ... -4.01 eV per atom

---

(3)
The following is a PBE calculation of CoHgP after structural relaxation, from Alexandria via LeMat-Bulk.

abc: 3.107 3.107 17.949
angles: 90.00 90.00 120.00
Fractional positions:
1 Co 0.333 0.667 0.544
2 P 0.333 0.667 0.944
3 Hg 0.333 0.667 0.090
4 Co 0.000 0.000 0.878
5 Hg 0.667 0.333 0.757
6 P 0.000 0.000 0.277
7 Co 0.667 0.333 0.211
8 Hg 0.000 0.000 0.424
9 P 0.667 0.333 0.611

Values from the calculation:
N(E_F) ... 0.40 states/eV per cell
Formation energy ... -0.0992 eV/atom
Calculated density ... 9.6 Mg/m³
Excess energy over the best structure of this formula in the dataset ... 0.000 eV per atom
Symmetry ... No. 160
Uncorrected energy ... -4.37 eV per atom

---

(4)
The following is a PBE calculation of CoHg2P after structural relaxation, from Alexandria via LeMat-Bulk.

abc: 4.123 4.146 4.175
angles: 90.00 90.00 90.00
Each line ends with the local moment (μB).
Fractional positions:
1 Hg 0.000 0.000 0.000  -0.03
2 Co 0.000 0.500 0.500  1.39
3 P 0.500 0.000 0.500  0.01
4 Hg 0.500 0.500 0.000  -0.03

Values from the calculation:
N(E_F) ... 4.98 states/eV per cell
Formation energy ... 0.6633 eV/atom
Calculated density ... 11.4 Mg/m³
Symmetry ... No. 47
Uncorrected energy ... -2.62 eV per atom

---

Repeat the second record exactly.
The following is a PBE calculation of CoHgP4 after structural relaxation, from Alexandria via LeMat-Bulk.

abc: 5.172 5.172 5.172
angles: 60.00 60.00 60.00
Each line ends with the local moment (μB).
Fractional positions:
1 Hg 0.000 0.000 0.000  0.01
2 P 0.380 0.860 0.380  0.03
3 Co 0.750 0.750 0.750  1.88
4 P 0.860 0.380 0.380  0.03
5 P 0.380 0.380 0.860  0.03
6 P 0.380 0.380 0.380  0.03

Values from the calculation:
N(E_F) ... 3.78 states/eV per cell
Formation energy ... 0.8324 eV/atom
Calculated density ... 6.5 Mg/m³
Symmetry ... No. 216
Uncorrected energy ... -4.01 eV per atom

---

Repeat the third record exactly.
The following is a PBE calculation of CoHgP after structural relaxation, from Alexandria via LeMat-Bulk.

abc: 3.107 3.107 17.949
angles: 90.00 90.00 120.00
Fractional positions:
1 Co 0.333 0.667 0.544
2 P 0.333 0.667 0.944
3 Hg 0.333 0.667 0.090
4 Co 0.000 0.000 0.878
5 Hg 0.667 0.333 0.757
6 P 0.000 0.000 0.277
7 Co 0.667 0.333 0.211
8 Hg 0.000 0.000 0.424
9 P 0.667 0.333 0.611

Values from the calculation:
N(E_F) ... 0.40 states/eV per cell
Formation energy ... -0.0992 eV/atom
Calculated density ... 9.6 Mg/m³
Excess energy over the best structure of this formula in the dataset ... 0.000 eV per atom
Symmetry ... No. 160
Uncorrected energy ... -4.37 eV per atom

---

- The highest formation energy belongs to which entry?
  CoHgP4

---

- Among the records above, which one has the lowest formation energy?
  number 3